(1)
Density functional theory data (PBEsol) for a geometry-optimized Zr5Fe3 structure.

Results
Total magnetic moment (μB/atom): 0.000
Calculated formation energy (eV/atom): -0.1339

```
16
Lattice="5.5997 0.0000 0.0000 0.0000 7.4979 0.0000 0.0000 -3.7490 6.4934" Properties=species:S:1:pos:R:3 pbc="T T T"
Fe 1.3999 -1.5003 2.5987
Fe 4.1998 -2.2486 3.8947
Fe 1.3999 2.2486 3.8947
Fe 4.1998 4.4972 0.0000
Fe 4.1998 1.5003 2.5987
Fe 1.3999 3.0007 0.0000
Zr 4.1998 -0.9064 1.5700
Zr 1.3999 -2.8425 4.9234
Zr 4.1998 2.8425 4.9234
Zr 1.3999 5.6851 0.0000
Zr 0.0000 3.7490 2.1645
Zr 2.7999 3.7490 2.1645
Zr 0.0000 0.0000 4.3289
Zr 2.7999 0.0000 4.3289
Zr 1.3999 0.9064 1.5700
Zr 4.1998 1.8129 0.0000
```


(2)
Density functional theory data (PBEsol) for a geometry-optimized MgTcRu2 structure.

Results
Total magnetic moment (μB/atom): 0.000
Calculated formation energy (eV/atom): 0.2312

```
4
Lattice="-2.0283 1.7690 0.4863 -2.1801 -1.6797 -2.9832 -2.0535 -3.2473 3.3292" Properties=species:S:1:pos:R:3 pbc="T T T"
Mg -3.6691 -2.4292 1.2881
Ru -4.0435 -1.4192 3.7541
Ru -2.6417 -0.8085 -0.3753
Tc -1.0162 -1.6032 1.6454
```